Below is a geometry-optimized Dy3YHoTh structure, with properties calculated at the PBE level.

Properties
Density of states at the Fermi level   1.476 states/eV per atom
E   -5.352 eV/atom

The structure in POSCAR format:
```
Dy3YHoTh
1.0
7.9290 0.0000 0.0000
0.0000 5.0403 0.0000
-3.1944 0.0000 9.5446
Dy Y Ho Th
6 2 2 2
Direct
0.1686 0.2500 0.0430
0.1748 0.2500 0.5434
0.1746 0.7500 0.2927
0.8254 0.2500 0.7073
0.8252 0.7500 0.4566
0.8314 0.7500 0.9570
0.1675 0.7500 0.7917
0.8325 0.2500 0.2083
0.5002 0.2500 0.8720
0.4998 0.7500 0.1280
0.4990 0.2500 0.3776
0.5010 0.7500 0.6224
```